1.
This record from Alexandria via LeMat-Bulk describes a PBEsol-optimized structure of HfNbMo2. The functional is meta-GGA SCAN.

Computed properties:
- DOS at the Fermi energy: 1.10 states/eV per atom
- Energy relative to the elements: -0.06 eV/atom

a b c (Å): 4.574 4.574 4.574
angles (deg): 60.00 60.00 60.00
Fractional coordinates of all 4 atoms:
Mo (0.250, 0.250, 0.250)
Mo (0.750, 0.750, 0.750)
Hf (0.500, 0.500, 0.500)
Nb (0.000, 0.000, 0.000)

2.
This record from Alexandria via LeMat-Bulk describes a PBEsol-optimized structure of BaTeIr2. The functional is meta-GGA SCAN.

Computed properties:
- DOS at the Fermi energy: 0.56 states/eV per atom
- Formation energy without anion corrections: 669 meV per atom

a b c (Å): 4.577 5.165 4.577
angles (deg): 63.70 90.00 116.30
Fractional coordinates of all 4 atoms:
Ba (0.000, 0.000, 0.000)
Ir (0.250, 0.500, 0.250)
Ir (0.750, 0.500, 0.750)
Te (0.500, 0.000, 0.500)

3.
This record from Alexandria via LeMat-Bulk describes a PBEsol-optimized structure of Sm2SeOF2. The functional is meta-GGA SCAN.

Computed properties:
- DOS at the Fermi energy: 0.00 states/eV per atom
- Formation energy without anion corrections: -3702 meV per atom

a b c (Å): 3.792 13.508 13.508
angles (deg): 120.00 90.00 90.00
Fractional coordinates of all 36 atoms:
Sm (0.750, 0.119, 0.604)
Sm (0.750, 0.396, 0.515)
Sm (0.750, 0.485, 0.881)
Sm (0.250, 0.881, 0.396)
Sm (0.250, 0.604, 0.485)
Sm (0.250, 0.515, 0.119)
Sm (0.750, 0.234, 0.944)
Sm (0.750, 0.056, 0.289)
Sm (0.750, 0.711, 0.766)
Sm (0.250, 0.766, 0.056)
Sm (0.250, 0.944, 0.711)
Sm (0.250, 0.289, 0.234)
Se (0.750, 0.487, 0.282)
Se (0.750, 0.718, 0.206)
Se (0.750, 0.794, 0.513)
Se (0.250, 0.513, 0.718)
Se (0.250, 0.282, 0.794)
Se (0.250, 0.206, 0.487)
O (0.750, 0.427, 0.015)
O (0.750, 0.985, 0.412)
O (0.750, 0.588, 0.573)
O (0.250, 0.573, 0.985)
O (0.250, 0.015, 0.588)
O (0.250, 0.412, 0.427)
F (0.750, 0.209, 0.108)
F (0.750, 0.892, 0.101)
F (0.750, 0.899, 0.791)
F (0.250, 0.791, 0.892)
F (0.250, 0.108, 0.899)
F (0.250, 0.101, 0.209)
F (0.750, 0.068, 0.752)
F (0.750, 0.248, 0.315)
F (0.750, 0.685, 0.932)
F (0.250, 0.932, 0.248)
F (0.250, 0.752, 0.685)
F (0.250, 0.315, 0.068)

4.
This record from Alexandria via LeMat-Bulk describes a PBEsol-optimized structure of ScNi2W. The functional is meta-GGA SCAN.

Computed properties:
- DOS at the Fermi energy: 0.84 states/eV per atom
- Energy relative to the elements: 0.26 eV/atom

a b c (Å): 4.243 4.243 4.243
angles (deg): 60.00 60.00 60.00
Last column: magnetic moment on the atom in μB.
Fractional coordinates of all 4 atoms:
Ni (0.000, 0.000, 0.000)  0.26
Ni (0.750, 0.750, 0.750)  -0.09
Sc (0.500, 0.500, 0.500)  0.23
W (0.250, 0.250, 0.250)  0.58

| no. | E_tot (eV/atom) |
| --- | --- |
| 1 | -41.45 |
| 2 | -54.08 |
| 3 | -24.08 |
| 4 | -28.81 |